Entry from Alexandria: La3ScIn4 after structural relaxation (PBE).

Cell: 3.7732 3.7732 16.1203 Å, 90.00 90.00 90.00°
Positions (direct):
La: 0.0000 0.0000 0.0000
La: 0.0000 0.0000 0.2647
La: 0.0000 0.0000 0.7353
Sc: 0.0000 0.0000 0.5000
In: 0.5000 0.5000 0.1327
In: 0.5000 0.5000 0.3991
In: 0.5000 0.5000 0.6009
In: 0.5000 0.5000 0.8673

Output
As for the calculated volume: 229.5 Å³ per cell. Its uncorrected energy is -4.4987 eV/atom. As for the space group: No. 123.



Entry from Alexandria: La6ScIn5 after structural relaxation (PBE).

Cell: 5.9557 7.0827 8.7020 Å, 90.00 96.67 90.00°
Positions (direct):
La: 0.0000 0.2401 0.0000
La: 0.0000 0.7599 0.0000
La: 0.2943 0.2484 0.6576
La: 0.2943 0.7516 0.6576
La: 0.7057 0.2484 0.3424
La: 0.7057 0.7516 0.3424
Sc: 0.5000 0.5000 0.0000
In: 0.2045 0.0000 0.3218
In: 0.2151 0.5000 0.3085
In: 0.5000 0.0000 0.0000
In: 0.7849 0.5000 0.6915
In: 0.7955 0.0000 0.6782

Output
As for the calculated volume: 364.6 Å³ per cell. Its uncorrected energy is -4.5351 eV/atom. As for the space group: No. 10.



Entry from Alexandria: LaSc2In after structural relaxation (PBE).

Cell: 11.4629 11.4629 11.4629 Å, 16.62 16.62 16.62°
Positions (direct):
La: 0.0000 0.0000 0.0000
Sc: 0.0948 0.0948 0.0948
Sc: 0.9052 0.9052 0.9052
In: 0.5000 0.5000 0.5000

Output
As for the calculated volume: 107.5 Å³ per cell. Its uncorrected energy is -5.0466 eV/atom. As for the space group: No. 166.



Entry from Alexandria: LaSc2In after structural relaxation (PBE).

Cell: 11.1584 11.1584 11.1584 Å, 17.50 17.50 17.50°
Positions (direct):
La: 0.0000 0.0000 0.0000
Sc: 0.5017 0.5017 0.5017
Sc: 0.7574 0.7574 0.7574
In: 0.2450 0.2450 0.2450

Output
As for the calculated volume: 109.6 Å³ per cell. Its uncorrected energy is -5.1482 eV/atom. As for the space group: No. 160.



Entry from Alexandria: LaSc2In2 after structural relaxation (PBE).

Cell: 8.8752 8.8752 3.2481 Å, 90.00 90.00 90.00°
Positions (direct):
La: 0.0000 0.0000 0.0000
La: 0.5000 0.5000 0.0000
Sc: 0.1229 0.3771 0.0000
Sc: 0.3771 0.8771 0.0000
Sc: 0.6229 0.1229 0.0000
Sc: 0.8771 0.6229 0.0000
In: 0.1735 0.6735 0.5000
In: 0.3265 0.1735 0.5000
In: 0.6735 0.8265 0.5000
In: 0.8265 0.3265 0.5000

Output
The value obtained for the offset from the most stable computed form is 0 meV/atom. As for the calculated volume: 255.8 Å³ per cell. Its uncorrected energy is -4.9797 eV/atom. As for the space group: No. 127.



Entry from Alexandria: La2ScIn after structural relaxation (PBE).

Cell: 3.6213 5.2398 6.7780 Å, 90.00 105.35 90.00°
Positions (direct):
La: 0.0000 0.0000 0.0000
La: 0.3160 0.5000 0.6377
Sc: 0.5943 0.5000 0.1887
In: 0.7206 0.0000 0.4452

Output
As for the calculated volume: 124.0 Å³ per cell. Its uncorrected energy is -4.9536 eV/atom. As for the space group: No. 6.



Entry from Alexandria: LaSc2In after structural relaxation (PBE).

Cell: 5.3215 5.3215 5.3215 Å, 60.00 60.00 60.00°
Positions (direct):
La: 0.0000 0.0000 0.0000
Sc: 0.2500 0.2500 0.2500
Sc: 0.5000 0.5000 0.5000
In: 0.7500 0.7500 0.7500

Output
As for the calculated volume: 106.6 Å³ per cell. Its uncorrected energy is -5.2365 eV/atom. As for the space group: No. 216.



Entry from Alexandria: La6ScIn2 after structural relaxation (PBE).

Cell: 9.0006 9.0006 8.9708 Å, 100.41 100.41 24.01°
Positions (direct):
La: 0.0888 0.0888 0.1057
La: 0.2162 0.2162 0.8143
La: 0.3398 0.3398 0.5400
La: 0.6602 0.6602 0.4600
La: 0.7838 0.7838 0.1857
La: 0.9112 0.9112 0.8943
Sc: 0.0000 0.0000 0.5000
In: 0.4508 0.4508 0.2315
In: 0.5492 0.5492 0.7685

Output
As for the calculated volume: 290.6 Å³ per cell. Its uncorrected energy is -4.8094 eV/atom. As for the space group: No. 12.